Entry from the Alexandria database: a relaxed structure of Tm3TeS3 (PBE).

Structure (CIF):
```
data_Tm3TeS3
_cell_length_a 7.7815
_cell_length_b 7.7815
_cell_length_c 21.2171
_cell_angle_alpha 90.00
_cell_angle_beta 90.00
_cell_angle_gamma 120.00
_space_group_name_H-M_alt 'R -3'
_space_group_IT_number 148
_space_group_name_Hall '-R 3'
loop_
_atom_site_label
_atom_site_type_symbol
_atom_site_fract_x
_atom_site_fract_y
_atom_site_fract_z
Tm1 Tm 0.0118 0.6213 0.0996
Te1 Te 0.0000 0.0000 0.3292
S1 S 0.0003 0.2709 0.1101
```

Results
E_form (uncorrected): -1.76 eV per atom
Size of the total moment: 0.00 μB per cell
DFT total energy: -5.893 eV per atom

---

Entry from the Alexandria database: a relaxed structure of Tm4TeS (PBE).

Structure (CIF):
```
data_Tm4TeS
_cell_length_a 7.8186
_cell_length_b 15.1844
_cell_length_c 6.7560
_cell_angle_alpha 90.00
_cell_angle_beta 123.98
_cell_angle_gamma 90.00
_space_group_name_H-M_alt 'C 1 2/c 1'
_space_group_IT_number 15
loop_
_space_group_symop_operation_xyz
'x,y,z'
'-x,-y,-z'
'-x,y,-z+1/2'
'x,-y,z+1/2'
'x+1/2,y+1/2,z'
'-x+1/2,-y+1/2,-z'
'-x+1/2,y+1/2,-z+1/2'
'x+1/2,-y+1/2,z+1/2'
loop_
_atom_site_label
_atom_site_type_symbol
_atom_site_fract_x
_atom_site_fract_y
_atom_site_fract_z
Tm1 Tm 0.2049 0.2034 0.2345
Tm2 Tm 0.2232 0.0693 0.7195
Te1 Te 0.0000 0.4256 0.7500
S1 S 0.0000 0.0581 0.2500
```

Results
E_form (uncorrected): -0.93 eV per atom
Size of the total moment: 0.00 μB per cell
DFT total energy: -5.121 eV per atom

---

Entry from the Alexandria database: a relaxed structure of TmTeS (PBE).

Structure (CIF):
```
data_TmTeS
_cell_length_a 15.0971
_cell_length_b 4.2037
_cell_length_c 5.4267
_cell_angle_alpha 90.00
_cell_angle_beta 90.19
_cell_angle_gamma 90.00
_space_group_name_H-M_alt 'C 1 2/m 1'
_space_group_IT_number 12
loop_
_space_group_symop_operation_xyz
'x,y,z'
'-x,-y,-z'
'-x,y,-z'
'x,-y,z'
'x+1/2,y+1/2,z'
'-x+1/2,-y+1/2,-z'
'-x+1/2,y+1/2,-z'
'x+1/2,-y+1/2,z'
loop_
_atom_site_label
_atom_site_type_symbol
_atom_site_fract_x
_atom_site_fract_y
_atom_site_fract_z
Tm1 Tm 0.1876 0.0000 0.2494
Te1 Te 0.0352 0.5000 0.2498
S1 S 0.1997 0.0000 0.7495
```

Results
Polymorph energy (0 for the lowest one): 0 meV per atom
E_form (uncorrected): -1.45 eV per atom
Size of the total moment: 0.00 μB per cell
DFT total energy: -5.363 eV per atom

---

Entry from the Alexandria database: a relaxed structure of Tm4Te5S (PBE).

Structure (CIF):
```
data_Tm4Te5S
_cell_length_a 18.3968
_cell_length_b 4.1924
_cell_length_c 8.4865
_cell_angle_alpha 90.00
_cell_angle_beta 102.97
_cell_angle_gamma 90.00
_space_group_name_H-M_alt 'C 1 2/m 1'
_space_group_IT_number 12
loop_
_space_group_symop_operation_xyz
'x,y,z'
'-x,-y,-z'
'-x,y,-z'
'x,-y,z'
'x+1/2,y+1/2,z'
'-x+1/2,-y+1/2,-z'
'-x+1/2,y+1/2,-z'
'x+1/2,-y+1/2,z'
loop_
_atom_site_label
_atom_site_type_symbol
_atom_site_fract_x
_atom_site_fract_y
_atom_site_fract_z
Tm1 Tm 0.0016 0.0000 0.2438
Tm2 Tm 0.1644 0.5000 0.0871
Te1 Te 0.0000 0.5000 0.5000
Te2 Te 0.1643 0.0000 0.3339
Te3 Te 0.1653 0.0000 0.8271
S1 S 0.0000 0.5000 0.0000
```

Results
E_form (uncorrected): -1.38 eV per atom
Size of the total moment: 0.00 μB per cell
DFT total energy: -5.149 eV per atom

---

Entry from the Alexandria database: a relaxed structure of TmTeS2 (PBE).

Structure (CIF):
```
data_TmTeS2
_cell_length_a 3.9249
_cell_length_b 3.9249
_cell_length_c 24.6804
_cell_angle_alpha 90.00
_cell_angle_beta 90.00
_cell_angle_gamma 120.00
_space_group_name_H-M_alt 'R -3 m'
_space_group_IT_number 166
_space_group_name_Hall '-R 3 2"'
loop_
_atom_site_label
_atom_site_type_symbol
_atom_site_fract_x
_atom_site_fract_y
_atom_site_fract_z
Tm1 Tm 0.0000 0.0000 0.0000
Te1 Te 0.0000 0.0000 0.5000
S1 S 0.0000 0.0000 0.3922
```

Results
E_form (uncorrected): -1.15 eV per atom
Size of the total moment: 0.00 μB per cell
DFT total energy: -5.113 eV per atom

---

Entry from the Alexandria database: a relaxed structure of TmTeS (PBE).

Structure (CIF):
```
data_TmTeS
_cell_length_a 3.4319
_cell_length_b 3.4319
_cell_length_c 14.3103
_cell_angle_alpha 90.00
_cell_angle_beta 90.00
_cell_angle_gamma 90.00
_space_group_name_H-M_alt 'I 4 m m'
_space_group_IT_number 107
_space_group_name_Hall 'I 4 -2'
loop_
_atom_site_label
_atom_site_type_symbol
_atom_site_fract_x
_atom_site_fract_y
_atom_site_fract_z
Tm1 Tm 0.0000 0.0000 0.0000
Te1 Te 0.0000 0.0000 0.6680
S1 S 0.0000 0.0000 0.4188
```

Results
Polymorph energy (0 for the lowest one): 211 meV per atom
E_form (uncorrected): -1.24 eV per atom
Size of the total moment: 0.00 μB per cell
DFT total energy: -5.152 eV per atom

---

Entry from the Alexandria database: a relaxed structure of Tm2Te2S (PBE).

Structure (CIF):
```
data_Tm2Te2S
_cell_length_a 7.9132
_cell_length_b 11.4075
_cell_length_c 6.3687
_cell_angle_alpha 90.00
_cell_angle_beta 90.00
_cell_angle_gamma 90.00
_space_group_name_H-M_alt 'I b a m'
_space_group_IT_number 72
_space_group_name_Hall '-I 2 2c'
loop_
_atom_site_label
_atom_site_type_symbol
_atom_site_fract_x
_atom_site_fract_y
_atom_site_fract_z
Tm1 Tm 0.2325 0.0977 0.0000
Te1 Te 0.1238 0.3516 0.0000
S1 S 0.0000 0.0000 0.2500
```

Results
Polymorph energy (0 for the lowest one): 0 meV per atom
E_form (uncorrected): -1.54 eV per atom
Size of the total moment: 0.00 μB per cell
DFT total energy: -5.407 eV per atom

---

Entry from the Alexandria database: a relaxed structure of Tm3Te2S2 (PBE).

Structure (CIF):
```
data_Tm3Te2S2
_cell_length_a 14.0771
_cell_length_b 4.1543
_cell_length_c 6.9304
_cell_angle_alpha 90.00
_cell_angle_beta 107.05
_cell_angle_gamma 90.00
_space_group_name_H-M_alt 'C 1 2/m 1'
_space_group_IT_number 12
loop_
_space_group_symop_operation_xyz
'x,y,z'
'-x,-y,-z'
'-x,y,-z'
'x,-y,z'
'x+1/2,y+1/2,z'
'-x+1/2,-y+1/2,-z'
'-x+1/2,y+1/2,-z'
'x+1/2,-y+1/2,z'
loop_
_atom_site_label
_atom_site_type_symbol
_atom_site_fract_x
_atom_site_fract_y
_atom_site_fract_z
Tm1 Tm 0.0000 0.0000 0.0000
Tm2 Tm 0.2471 0.5000 0.2640
Te1 Te 0.1084 0.5000 0.8230
S1 S 0.1451 0.0000 0.3491
```

Results
Polymorph energy (0 for the lowest one): 0 meV per atom
E_form (uncorrected): -1.70 eV per atom
Size of the total moment: 0.00 μB per cell
DFT total energy: -5.690 eV per atom